Here is a relaxed Li2Ac2Zn3 crystal from Alexandria. Energies are from GGA-PBE.

## Properties
DFT total energy   -0.089 Ha/atom
ΔH_f (0 K)   -166 meV/atom
V   350 Å³ per cell
Crystal system   orthorhombic

```
Li2Ac2Zn3
1.0
2.3590 -9.7037 0.0000
2.3590 9.7037 0.0000
0.0000 0.0000 7.6553
Li Ac Zn
4 4 6
Direct
0.1916 0.8084 0.5598
0.1916 0.8084 0.9402
0.8084 0.1916 0.0598
0.8084 0.1916 0.4402
0.3473 0.6527 0.7500
0.4395 0.5605 0.2500
0.5605 0.4395 0.7500
0.6527 0.3473 0.2500
0.0568 0.9432 0.0788
0.0568 0.9432 0.4212
0.2729 0.7271 0.2500
0.7271 0.2729 0.7500
0.9432 0.0568 0.5788
0.9432 0.0568 0.9212
```